LaCr2BiAu | PBE | relaxed

Results
formation energy from the elements = 0.75 eV/atom
crystal system = tetragonal
SG = P4/mmm (123)
DOS at the Fermi energy = 4.57 states/eV per cell
E = -0.4055 Ry/atom

```
5
Lattice="5.166 0.000 0.000 0.000 5.166 0.000 0.000 0.000 5.532" Properties=species:S:1:pos:R:3 pbc="T T T"
La 0.000 0.000 0.000
Cr 0.000 2.583 2.766
Cr 2.583 0.000 2.766
Bi 2.583 2.583 2.766
Au 2.583 2.583 0.000
```